DFT (GGA-PBE) results for a relaxed structure of YScIr2.

Values from the calculation:
Formation energy: -0.701 eV/atom
Energy: -8.33 eV per atom

a b c (Å): 4.1118 5.5337 5.5337
angles (deg): 40.03 90.00 90.00
Closest atoms and distances in Å follow each position.
Atoms (fractional coordinates):
Y (0.0000, 0.0000, 0.0000)  7 Ir 2.80-3.06
Sc (0.5000, 0.2947, 0.2947)  7 Ir 2.87-3.00
Ir (0.0000, 0.7310, 0.7310)  2 Ir 2.64, 1 Y 2.80, 4 Sc 2.87
Ir (0.5000, 0.5713, 0.5713)  2 Ir 2.64, 1 Sc 2.88, 4 Y 2.89